--- one ---
First-principles (PBE) data for crystalline Tm2Sc2CI5 at its relaxed geometry, as listed in the Open Quantum Materials Database.

Cell and atoms, written as POSCAR:
```
Tm2Sc2CI5
1.0
9.981 -1.935 0.000
9.981 1.935 0.000
-1.672 0.000 8.082
Sc I Tm C
2 5 2 1
Direct
0.000 0.000 0.180
0.000 0.000 0.820
0.846 0.846 0.186
0.154 0.154 0.814
0.500 0.500 0.500
0.153 0.153 0.337
0.847 0.847 0.663
0.382 0.382 0.942
0.618 0.618 0.058
0.500 0.500 0.000
```



--- two ---
First-principles (PBE) data for crystalline Tm2Sc2CI5 at its relaxed geometry, as listed in the Open Quantum Materials Database.

Cell and atoms, written as POSCAR:
```
Tm2Sc2CI5
1.0
-6.996 -1.671 -7.406
-4.507 -4.516 -8.117
-3.220 -4.403 6.348
I Sc Tm C
5 2 2 1
Direct
0.500 0.500 0.500
0.153 0.153 0.320
0.847 0.847 0.680
0.154 0.154 0.830
0.846 0.846 0.170
0.612 0.612 0.055
0.388 0.388 0.945
0.000 0.000 0.189
0.000 0.000 0.811
0.500 0.500 0.000
```



Which structure wins on stability? two wins.



--- one ---
First-principles (PBE) data for crystalline Sm2Y2CI5 at its relaxed geometry, as listed in the Open Quantum Materials Database.

Cell and atoms, written as POSCAR:
```
Sm2Y2CI5
1.0
-8.290 -0.527 5.151
-5.624 -2.005 7.738
2.785 8.046 1.728
I Sm Y C
5 2 2 1
Direct
0.838 0.838 0.653
0.833 0.833 0.186
0.162 0.162 0.347
0.500 0.500 0.500
0.167 0.167 0.814
0.633 0.633 0.066
0.367 0.367 0.934
0.999 0.999 0.189
0.001 0.001 0.811
0.500 0.500 0.000
```



--- two ---
First-principles (PBE) data for crystalline Sm2Y2CI5 at its relaxed geometry, as listed in the Open Quantum Materials Database.

Cell and atoms, written as POSCAR:
```
Sm2Y2CI5
1.0
-4.125 5.468 -7.107
-7.227 4.895 -4.609
3.210 6.071 5.377
Y I Sm C
2 5 2 1
Direct
0.372 0.372 0.936
0.628 0.628 0.064
0.835 0.835 0.665
0.169 0.169 0.828
0.831 0.831 0.172
0.165 0.165 0.335
0.500 0.500 0.500
0.999 0.999 0.194
0.001 0.001 0.806
0.500 0.500 0.000
```



Which structure wins on stability? two wins.



--- one ---
First-principles (PBE) data for crystalline K2ZnC4N4 at its relaxed geometry, as listed in the Open Quantum Materials Database.

Cell and atoms, written as POSCAR:
```
K2ZnC4N4
1.0
-8.268 2.262 1.965
1.621 -5.121 -6.963
1.066 -3.171 8.133
N C K Zn
8 8 4 2
Direct
0.728 0.457 0.272
0.272 0.957 0.728
0.272 0.543 0.728
0.315 0.043 0.272
0.728 0.043 0.272
0.728 0.457 0.685
0.272 0.543 0.315
0.685 0.957 0.728
0.217 0.065 0.783
0.783 0.565 0.848
0.783 0.935 0.217
0.217 0.435 0.152
0.848 0.065 0.783
0.217 0.435 0.783
0.783 0.565 0.217
0.152 0.935 0.217
0.500 0.000 0.000
0.500 0.500 0.500
0.000 0.500 0.500
0.500 0.000 0.500
0.125 0.250 0.875
0.875 0.750 0.125
```



--- two ---
First-principles (PBE) data for crystalline K2ZnC4N4 at its relaxed geometry, as listed in the Open Quantum Materials Database.

Cell and atoms, written as POSCAR:
```
K2ZnC4N4
1.0
4.234 2.444 14.336
-4.234 2.444 14.336
0.000 -4.889 14.336
C Zn N K
16 4 16 8
Direct
0.453 0.877 0.774
0.953 0.274 0.377
0.123 0.226 0.547
0.047 0.726 0.623
0.623 0.047 0.726
0.377 0.953 0.274
0.226 0.547 0.123
0.774 0.453 0.877
0.861 0.861 0.861
0.726 0.623 0.047
0.139 0.139 0.139
0.361 0.361 0.361
0.877 0.774 0.453
0.274 0.377 0.953
0.639 0.639 0.639
0.547 0.123 0.226
0.815 0.815 0.815
0.685 0.685 0.685
0.315 0.315 0.315
0.185 0.185 0.185
0.830 0.315 0.986
0.685 0.014 0.170
0.014 0.170 0.685
0.315 0.986 0.830
0.388 0.388 0.388
0.612 0.612 0.612
0.670 0.514 0.185
0.185 0.670 0.514
0.112 0.112 0.112
0.486 0.815 0.330
0.986 0.830 0.315
0.170 0.685 0.014
0.514 0.185 0.670
0.815 0.330 0.486
0.888 0.888 0.888
0.330 0.486 0.815
0.168 0.332 0.750
0.250 0.832 0.668
0.668 0.250 0.832
0.500 0.500 0.500
0.332 0.750 0.168
0.750 0.168 0.332
0.000 0.000 0.000
0.832 0.668 0.250
```



Which structure wins on stability? one wins.



--- one ---
First-principles (PBE) data for crystalline KPt3C at its relaxed geometry, as listed in the Open Quantum Materials Database.

Cell and atoms, written as POSCAR:
```
KPt3C
1.0
-1.732 3.664 -1.502
-2.940 -0.092 3.167
2.653 2.291 2.529
C K Pt
1 1 3
Direct
0.500 0.500 0.500
0.000 0.000 0.000
0.500 0.000 0.500
0.500 0.500 0.000
0.000 0.500 0.500
```



--- two ---
First-principles (PBE) data for crystalline KPt3C at its relaxed geometry, as listed in the Open Quantum Materials Database.

Cell and atoms, written as POSCAR:
```
KPt3C
1.0
5.801 0.000 0.000
-2.900 5.023 0.000
0.000 0.000 5.500
Pt C K
6 2 2
Direct
0.000 0.500 0.750
0.500 0.500 0.750
0.500 0.000 0.750
0.500 0.500 0.250
0.000 0.500 0.250
0.500 0.000 0.250
0.333 0.667 0.500
0.667 0.333 0.500
0.000 0.000 0.500
0.000 0.000 0.000
```



Which structure wins on stability? two wins.